CaMgIr2Rh GGA-PBE optimized geometry; formation enthalpy at 0 K = 8.05 eV per formula unit
1.0
4.832 0.000 0.000
0.000 4.832 0.000
0.000 0.000 4.701
Ca Mg Ir Rh
1 1 2 1
direct
0.000 0.000 0.000 Ca
0.500 0.500 0.500 Mg
0.000 0.500 0.000 Ir
0.500 0.000 0.000 Ir
0.000 0.000 0.500 Rh